No. 1
DFT (PBE-GGA) results for PaPtRh after structural relaxation.

Cell: 3.218 4.563 4.563 Å, 120.00 90.00 90.00°
Fractional positions:
Pt 0.170 0.000 0.000
Pa 0.668 0.667 0.333
Rh 0.161 0.333 0.667

Computed properties:
Symmetry ... P3m1, No. 156
E above lowest polymorph ... 33.0 kJ per mole of atoms

=====

No. 2
DFT (PBE-GGA) results for DyErTmPu after structural relaxation.

Cell: 5.537 5.537 5.537 Å, 60.00 60.00 60.00°
Fractional positions:
Pu 0.500 0.500 0.500
Er 0.750 0.750 0.750
Dy 0.000 0.000 0.000
Tm 0.250 0.250 0.250

Computed properties:
Symmetry ... F-43m, No. 216

=====

No. 3
DFT (PBE-GGA) results for Rb2CaClO after structural relaxation.

Cell: 7.660 5.174 7.660 Å, 90.00 90.00 90.00°
Fractional positions:
O 0.500 0.500 0.500
Rb 0.500 0.000 0.000
Rb 0.000 0.000 0.500
Ca 0.000 0.000 0.000
Cl 0.000 0.500 0.000

Computed properties:
Symmetry ... P4/mmm, No. 123
ΔE_f (raw) ... -5.94 kcal/mol of atoms

=====

No. 4
DFT (PBE-GGA) results for SrNi2Rh after structural relaxation.

Cell: 4.548 4.548 4.548 Å, 60.00 60.00 60.00°
Fractional positions:
Sr 0.000 0.000 0.000
Ni 0.750 0.750 0.750
Ni 0.250 0.250 0.250
Rh 0.500 0.500 0.500

Computed properties:
Symmetry ... Fm-3m, No. 225
E above lowest polymorph ... 45.7 kJ per mole of atoms

=====

No. 5
DFT (PBE-GGA) results for KHo2Pt9 after structural relaxation.

Cell: 5.476 5.476 9.285 Å, 72.85 72.85 60.00°
Fractional positions:
Ho 0.862 0.862 0.415
Ho 0.138 0.138 0.585
Pt 0.668 0.668 0.996
Pt 0.589 0.081 0.742
Pt 0.081 0.589 0.742
Pt 0.500 0.500 0.500
Pt 0.919 0.411 0.258
Pt 0.411 0.411 0.258
Pt 0.332 0.332 0.004
Pt 0.589 0.589 0.742
Pt 0.411 0.919 0.258
K 0.000 0.000 0.000

Computed properties:
Symmetry ... R-3m, No. 166

=====

No. 6
DFT (PBE-GGA) results for KBe3In after structural relaxation.

Cell: 5.455 5.455 5.455 Å, 90.00 90.00 90.00°
Fractional positions:
Be 0.500 0.000 0.000
Be 0.000 0.500 0.000
Be 0.000 0.000 0.500
In 0.500 0.500 0.500
K 0.000 0.000 0.000

Computed properties:
Symmetry ... Pm-3m, No. 221
E above lowest polymorph ... 106.4 kJ per mole of atoms

=====

No. 7
DFT (PBE-GGA) results for BaSrSnPb after structural relaxation.

Cell: 5.222 4.729 6.821 Å, 90.00 112.51 90.00°
Fractional positions:
Pb 0.424 0.000 0.849
Sn 0.581 0.500 0.162
Sr 0.131 0.000 0.263
Ba 0.863 0.500 0.726

Computed properties:
Symmetry ... Amm2, No. 38

=====

No. 8
DFT (PBE-GGA) results for Ba2CoIr after structural relaxation.

Cell: 3.554 3.556 9.399 Å, 90.00 90.00 90.00°
Fractional positions:
Co 0.000 0.000 0.597
Ba 0.500 0.500 0.343
Ba 0.000 0.000 0.903
Ir 0.500 0.500 0.656

Computed properties:
Symmetry ... P4mm, No. 99
E above lowest polymorph ... 36.6 kJ per mole of atoms

=====

No. 9
DFT (PBE-GGA) results for LiPr5Y4 after structural relaxation.

Cell: 3.660 3.660 24.760 Å, 90.00 90.00 90.00°
Fractional positions:
Y 0.000 0.000 0.811
Y 0.000 0.000 0.189
Y 0.000 0.000 0.397
Y 0.000 0.000 0.603
Pr 0.500 0.500 0.707
Pr 0.500 0.500 0.500
Pr 0.500 0.500 0.913
Pr 0.500 0.500 0.087
Pr 0.500 0.500 0.293
Li 0.000 0.000 0.000

Computed properties:
Symmetry ... P4/mmm, No. 123

=====

No. 10
DFT (PBE-GGA) results for AlFeCl after structural relaxation.

Cell: 4.259 4.259 4.259 Å, 60.00 60.00 60.00°
Fractional positions:
Al 0.000 0.000 0.000
Fe 0.750 0.750 0.750
Cl 0.500 0.500 0.500

Computed properties:
Symmetry ... F-43m, No. 216
ΔE_f (raw) ... 12.68 kcal/mol of atoms
E above lowest polymorph ... 55.6 kJ per mole of atoms

=====

No. 11
DFT (PBE-GGA) results for Dy4Fe after structural relaxation.

Cell: 5.261 5.261 5.261 Å, 90.00 90.00 90.00°
Fractional positions:
Dy 0.500 0.500 0.000
Dy 0.500 0.000 0.500
Dy 0.000 0.500 0.500
Dy 0.000 0.000 0.000
Fe 0.500 0.500 0.500

Computed properties:
Symmetry ... Pm-3m, No. 221
E above lowest polymorph ... 0.0 kJ per mole of atoms

=====

No. 12
DFT (PBE-GGA) results for HfTi3C after structural relaxation.

Cell: 4.292 4.292 4.292 Å, 90.00 90.00 90.00°
Fractional positions:
Ti 0.500 0.000 0.000
Ti 0.000 0.500 0.000
Ti 0.000 0.000 0.500
Hf 0.500 0.500 0.500
C 0.000 0.000 0.000

Computed properties:
Symmetry ... Pm-3m, No. 221
E above lowest polymorph ... 0.0 kJ per mole of atoms

=====

no.,total DFT energy (no corrections) (eV per cell)
1,-24.76
2,-27.24
3,-12.03
4,-19.14
5,-72.81
6,-4.45
7,-13.79
8,-18.49
9,-51.33
10,-12.40
11,-26.25
12,-44.06